Record 1
The following is a PBE calculation of a relaxed structure of Ac8Os3Rh, from Alexandria via LeMat-Bulk.

Structure (CIF):
```
data_Ac8Os3Rh
_chemical_formula_sum 'Ac8 Os3 Rh1'
_cell_length_a 8.8471
_cell_length_b 8.8363
_cell_length_c 8.2707
_cell_angle_alpha 122.44
_cell_angle_beta 90.00
_cell_angle_gamma 120.04
_space_group_name_H-M_alt 'P 1'
_space_group_IT_number 1
loop_
_space_group_symop_operation_xyz
'x,y,z'
loop_
_atom_site_label
_atom_site_fract_x
_atom_site_fract_y
_atom_site_fract_z
Ac1 0.2546 0.5093 0.7647
Ac2 0.7454 0.4907 0.2353
Ac3 0.2599 0.0122 0.7656
Ac4 0.7523 0.0122 0.7656
Ac5 0.7524 0.5048 0.7658
Ac6 0.2476 0.4952 0.2342
Ac7 0.2477 0.9878 0.2344
Ac8 0.7401 0.9878 0.2344
Os1 0.5000 0.0000 0.0000
Os2 0.5000 0.5000 0.0000
Os3 0.0000 0.5000 0.0000
Rh1 0.0000 0.0000 0.0000
```

## Properties
crystal system = monoclinic
D(E_F) = 6.154 states/eV/f.u.
DFT total energy = -75.738 eV/cell
E_form = -0.15 eV/atom

Record 2
The following is a PBE calculation of a relaxed structure of Ac12OsRh5, from Alexandria via LeMat-Bulk.

Structure (CIF):
```
data_Ac12OsRh5
_chemical_formula_sum 'Ac12 Os1 Rh5'
_cell_length_a 7.5593
_cell_length_b 7.5661
_cell_length_c 13.8515
_cell_angle_alpha 84.90
_cell_angle_beta 79.74
_cell_angle_gamma 60.03
_space_group_name_H-M_alt 'P 1'
_space_group_IT_number 1
loop_
_space_group_symop_operation_xyz
'x,y,z'
loop_
_atom_site_label
_atom_site_fract_x
_atom_site_fract_y
_atom_site_fract_z
Ac1 0.8718 0.0000 0.3833
Ac2 0.1282 0.0000 0.6167
Ac3 0.7080 0.0000 0.8847
Ac4 0.2920 0.0000 0.1153
Ac5 0.3667 0.6706 0.8848
Ac6 0.9627 0.6706 0.1152
Ac7 0.0373 0.3294 0.8848
Ac8 0.6333 0.3294 0.1152
Ac9 0.4615 0.3334 0.6169
Ac10 0.7949 0.6666 0.6169
Ac11 0.2051 0.3334 0.3831
Ac12 0.5385 0.6666 0.3831
Os1 0.0000 0.0000 0.0000
Rh1 0.5000 0.0000 0.5000
Rh2 0.1669 0.6662 0.5000
Rh3 0.8331 0.3339 0.5000
Rh4 0.6666 0.6668 0.0000
Rh5 0.3334 0.3332 0.0000
```

## Properties
crystal system = monoclinic
D(E_F) = 17.588 states/eV/f.u.
DFT total energy = -105.742 eV/cell
E_form = -0.47 eV/atom

Record 3
The following is a PBE calculation of a relaxed structure of Ac16Os5Rh3, from Alexandria via LeMat-Bulk.

Structure (CIF):
```
data_Ac16Os5Rh3
_chemical_formula_sum 'Ac16 Os5 Rh3'
_cell_length_a 8.6565
_cell_length_b 8.6565
_cell_length_c 13.8795
_cell_angle_alpha 90.01
_cell_angle_beta 90.01
_cell_angle_gamma 60.08
_space_group_name_H-M_alt 'P 1'
_space_group_IT_number 1
loop_
_space_group_symop_operation_xyz
'x,y,z'
loop_
_atom_site_label
_atom_site_fract_x
_atom_site_fract_y
_atom_site_fract_z
Ac1 0.3337 0.8358 0.4049
Ac2 0.5134 0.5134 0.6601
Ac3 0.6640 0.6640 0.8989
Ac4 0.0017 0.0017 0.6750
Ac5 0.0009 0.0009 0.1748
Ac6 0.8358 0.3337 0.4049
Ac7 0.5106 0.9732 0.6593
Ac8 0.9732 0.5106 0.6593
Ac9 0.1665 0.1665 0.9029
Ac10 0.8330 0.8330 0.4068
Ac11 0.0265 0.4830 0.1577
Ac12 0.4830 0.0265 0.1577
Ac13 0.3300 0.3300 0.3990
Ac14 0.1693 0.6683 0.9050
Ac15 0.4864 0.4864 0.1578
Ac16 0.6683 0.1693 0.9050
Os1 0.3335 0.8331 0.7867
Os2 0.6691 0.6691 0.5144
Os3 0.8331 0.3335 0.7867
Os4 0.1658 0.1658 0.2863
Os5 0.3364 0.3364 0.0179
Rh1 0.8337 0.8337 0.7878
Rh2 0.1652 0.6670 0.2878
Rh3 0.6670 0.1652 0.2878
```

## Properties
crystal system = monoclinic
D(E_F) = 12.908 states/eV/f.u.
DFT total energy = -149.393 eV/cell
E_form = -0.23 eV/atom

Record 4
The following is a PBE calculation of a relaxed structure of Ac12Os2Rh5, from Alexandria via LeMat-Bulk.

Structure (CIF):
```
data_Ac12Os2Rh5
_chemical_formula_sum 'Ac12 Os2 Rh5'
_cell_length_a 8.1105
_cell_length_b 8.9770
_cell_length_c 10.4963
_cell_angle_alpha 104.92
_cell_angle_beta 90.00
_cell_angle_gamma 116.86
_space_group_name_H-M_alt 'P 1'
_space_group_IT_number 1
loop_
_space_group_symop_operation_xyz
'x,y,z'
loop_
_atom_site_label
_atom_site_fract_x
_atom_site_fract_y
_atom_site_fract_z
Ac1 0.9295 0.8590 0.1782
Ac2 0.0686 0.6318 0.8535
Ac3 0.5633 0.6318 0.8535
Ac4 0.1179 0.7382 0.4897
Ac5 0.6204 0.7382 0.4897
Ac6 0.5306 0.0612 0.8341
Ac7 0.4694 0.9388 0.1659
Ac8 0.8821 0.2618 0.5103
Ac9 0.3796 0.2618 0.5103
Ac10 0.9314 0.3682 0.1465
Ac11 0.4367 0.3682 0.1465
Ac12 0.0705 0.1410 0.8218
Os1 0.7960 0.0000 0.0000
Os2 0.2040 0.0000 0.0000
Rh1 0.2874 0.5749 0.6152
Rh2 0.2745 0.5490 0.0374
Rh3 0.0000 0.0000 0.5000
Rh4 0.7255 0.4510 0.9626
Rh5 0.7126 0.4251 0.3848
```

## Properties
crystal system = monoclinic
D(E_F) = 13.249 states/eV/f.u.
DFT total energy = -115.118 eV/cell
E_form = -0.35 eV/atom

Record 5
The following is a PBE calculation of a relaxed structure of Ac8Os2Rh3, from Alexandria via LeMat-Bulk.

Structure (CIF):
```
data_Ac8Os2Rh3
_chemical_formula_sum 'Ac8 Os2 Rh3'
_cell_length_a 7.2491
_cell_length_b 8.7041
_cell_length_c 8.7041
_cell_angle_alpha 60.24
_cell_angle_beta 72.50
_cell_angle_gamma 72.50
_space_group_name_H-M_alt 'P 1'
_space_group_IT_number 1
loop_
_space_group_symop_operation_xyz
'x,y,z'
loop_
_atom_site_label
_atom_site_fract_x
_atom_site_fract_y
_atom_site_fract_z
Ac1 0.7793 0.6263 0.6263
Ac2 0.2207 0.3737 0.3737
Ac3 0.7572 0.1201 0.1201
Ac4 0.2428 0.8799 0.8799
Ac5 0.7650 0.6333 0.1096
Ac6 0.7650 0.1096 0.6333
Ac7 0.2350 0.8904 0.3667
Ac8 0.2350 0.3667 0.8904
Os1 0.9638 0.2570 0.2570
Os2 0.0362 0.7430 0.7430
Rh1 0.5000 0.0000 0.0000
Rh2 0.0000 0.2545 0.7455
Rh3 0.0000 0.7455 0.2545
```

## Properties
crystal system = monoclinic
D(E_F) = 6.297 states/eV/f.u.
DFT total energy = -81.708 eV/cell
E_form = -0.33 eV/atom

Record 6
The following is a PBE calculation of a relaxed structure of AcSi2OsRh, from Alexandria via LeMat-Bulk.

Structure (CIF):
```
data_AcSi2OsRh
_chemical_formula_sum 'Ac1 Si2 Os1 Rh1'
_cell_length_a 4.2315
_cell_length_b 4.2315
_cell_length_c 6.0777
_cell_angle_alpha 110.37
_cell_angle_beta 110.37
_cell_angle_gamma 90.00
_space_group_name_H-M_alt 'P 1'
_space_group_IT_number 1
loop_
_space_group_symop_operation_xyz
'x,y,z'
loop_
_atom_site_label
_atom_site_fract_x
_atom_site_fract_y
_atom_site_fract_z
Ac1 0.0000 0.0000 0.0000
Si1 0.6397 0.6397 0.2794
Si2 0.3603 0.3603 0.7206
Os1 0.7500 0.2500 0.5000
Rh1 0.2500 0.7500 0.5000
```

## Properties
crystal system = tetragonal
E_form (uncorrected) = -0.831 eV/atom
D(E_F) = 2.954 states/eV/f.u.
DFT total energy = -37.690 eV/cell